Compound: AcUCu2O8
Source: Alexandria via LeMat-Bulk
Functional: PBE-GGA
Structure: optimized geometry

energy relative to the elements, uncorrected: -1.7161 eV/atom
DFT total energy: -6.987 eV per atom
total magnetization: 1.25 μB/f.u.

a = 6.079 Å, b = 6.079 Å, c = 6.079 Å
α = 108.47°, β = 108.47°, γ = 111.48°
Last column: magnetic moment on the atom in μB.
Atoms (fractional coordinates):
Ac 0.000 0.000 0.000  -0.01
O 0.708 0.046 0.662  0.01
O 0.315 0.106 0.791  0.15
O 0.954 0.292 0.338  0.01
O 0.954 0.616 0.662  0.01
O 0.315 0.523 0.209  0.15
U 0.250 0.750 0.500  0.03
O 0.477 0.685 0.791  0.15
Cu 0.500 0.500 0.000  0.54
O 0.894 0.685 0.209  0.15
Cu 0.750 0.250 0.500  -0.02
O 0.384 0.046 0.338  0.01

***

Compound: ZrCuAs3
Source: Alexandria via LeMat-Bulk
Functional: PBE-GGA
Structure: optimized geometry

E above lowest polymorph: 243.6 meV per atom
DFT total energy: -4.754 eV per atom
total magnetization: 0.00 μB/f.u.

a = 5.161 Å, b = 5.161 Å, c = 5.161 Å
α = 90.00°, β = 90.00°, γ = 90.00°
Atoms (fractional coordinates):
Cu 0.500 0.500 0.500
Zr 0.000 0.000 0.000
As 0.000 0.500 0.000
As 0.500 0.000 0.000
As 0.000 0.000 0.500

***

Compound: TaTc2Se
Source: Alexandria via LeMat-Bulk
Functional: PBE-GGA
Structure: optimized geometry

energy relative to the elements, uncorrected: 0.1359 eV/atom
DFT total energy: -8.881 eV per atom
total magnetization: 0.00 μB/f.u.

a = 4.621 Å, b = 4.621 Å, c = 4.841 Å
α = 81.74°, β = 81.74°, γ = 39.35°
Atoms (fractional coordinates):
Tc 0.987 0.987 0.002
Ta 0.250 0.250 0.250
Se 0.750 0.750 0.750
Tc 0.513 0.513 0.498